1.
Material: Sr2RuPb
Method: DFT, PBE
State: relaxed

Values from the calculation:
As for the final energy: -0.300 Ry per atom. The calculation puts the density of states at the Fermi level at 0.698 states/eV/atom. The formation energy is 0.01 eV/atom.

Cell lengths 4.528, 4.810, 11.757 Å; angles 90.00, 90.00, 90.00 degrees
Space group Amm2 (No. 38)
One atom of each set of equivalent atoms:
Sr  0.000  0.000  0.000
Sr  0.500  0.000  0.285
Ru  0.500  0.000  0.579
Pb  0.000  0.000  0.702

---

2.
Material: Sr2RuPb
Method: DFT, PBE
State: relaxed

Values from the calculation:
As for the final energy: -0.298 Ry per atom. The calculation puts the density of states at the Fermi level at 0.846 states/eV/atom. The formation energy is 0.03 eV/atom.

Cell lengths 8.884, 4.226, 8.283 Å; angles 90.00, 108.33, 90.00 degrees
Space group Cm (No. 8)
One atom of each set of equivalent atoms:
Sr  0.000  0.000  0.000
Sr  0.156  0.000  0.533
Ru  0.191  0.500  0.268
Pb  0.383  0.000  0.266

---

3.
Material: Sr2RuPb
Method: DFT, PBE
State: relaxed

Values from the calculation:
As for the final energy: -0.288 Ry per atom. The calculation puts the density of states at the Fermi level at 1.295 states/eV/atom. The formation energy is 0.16 eV/atom.

Cell lengths 3.537, 3.537, 9.236 Å; angles 90.00, 90.00, 90.00 degrees
Space group P4/mmm (No. 123)
One atom of each set of equivalent atoms:
Sr  0.000  0.000  0.205
Ru  0.500  0.500  0.000
Pb  0.500  0.500  0.500

---

4.
Material: SrRuPb2
Method: DFT, PBE
State: relaxed

Values from the calculation:
As for the final energy: -0.326 Ry per atom. The calculation puts the density of states at the Fermi level at 0.759 states/eV/atom. The formation energy is 0.16 eV/atom.

Cell lengths 3.695, 4.715, 6.248 Å; angles 90.00, 101.98, 90.00 degrees
Space group P2/m (No. 10)
One atom of each set of equivalent atoms:
Sr  0.000  0.000  0.000
Ru  0.500  0.000  0.500
Pb  0.353  0.500  0.716

---

5.
Material: SrRuPb2
Method: DFT, PBE
State: relaxed

Values from the calculation:
As for the final energy: -0.337 Ry per atom. The calculation puts the density of states at the Fermi level at 0.897 states/eV/atom. The formation energy is 0.01 eV/atom.

Cell lengths 4.6840, 4.6840, 17.7790 Å; angles 90.00, 90.00, 120.00 degrees
Space group R3m (No. 160, hexagonal axes)
One atom of each set of equivalent atoms:
Sr  0.0000  0.0000  0.0000
Ru  0.0000  0.0000  0.8183
Pb  0.0000  0.0000  0.2135
Pb  0.0000  0.0000  0.4430

---

6.
Material: SrRu2Pb
Method: DFT, PBE
State: relaxed

Values from the calculation:
As for the final energy: -0.390 Ry per atom. The calculation puts the density of states at the Fermi level at 1.024 states/eV/atom. The formation energy is 0.68 eV/atom.

Cell lengths 6.975, 6.975, 6.975 Å; angles 90.00, 90.00, 90.00 degrees
Space group F-43m (No. 216)
One atom of each set of equivalent atoms:
Sr  0.000  0.000  0.000
Ru  0.000  0.000  0.500
Ru  0.250  0.250  0.250
Pb  0.250  0.250  0.750

---

7.
Material: Sr2RuPb
Method: DFT, PBE
State: relaxed

Values from the calculation:
As for the final energy: -0.293 Ry per atom. The calculation puts the density of states at the Fermi level at 1.267 states/eV/atom. The formation energy is 0.10 eV/atom.

Cell lengths 3.805, 5.470, 11.480 Å; angles 90.00, 90.00, 90.00 degrees
Space group Imm2 (No. 44)
One atom of each set of equivalent atoms:
Sr  0.000  0.000  0.000
Sr  0.000  0.500  0.199
Ru  0.000  0.000  0.470
Pb  0.000  0.500  0.800

---

8.
Material: SrRuPb2
Method: DFT, PBE
State: relaxed

Values from the calculation:
As for the final energy: -0.337 Ry per atom. The calculation puts the density of states at the Fermi level at 0.830 states/eV/atom. The formation energy is 0.01 eV/atom.

Cell lengths 7.992, 4.605, 6.493 Å; angles 90.00, 114.13, 90.00 degrees
Space group C2/m (No. 12)
One atom of each set of equivalent atoms:
Sr  0.000  0.000  0.000
Ru  0.000  0.500  0.500
Pb  0.221  0.000  0.665

---

9.
Material: SrRuPb2
Method: DFT, PBE
State: relaxed

Values from the calculation:
As for the final energy: -0.314 Ry per atom. The calculation puts the density of states at the Fermi level at 0.446 states/eV/atom. The formation energy is 0.32 eV/atom.

Cell lengths 5.636, 5.636, 17.431 Å; angles 90.00, 90.00, 90.00 degrees
Space group I-42d (No. 122)
One atom of each set of equivalent atoms:
Sr  0.000  0.000  0.000
Ru  0.000  0.000  0.500
Pb  0.106  0.250  0.625

---

10.
Material: SrRu2Pb
Method: DFT, PBE
State: relaxed

Values from the calculation:
As for the final energy: -0.391 Ry per atom. The calculation puts the density of states at the Fermi level at 1.003 states/eV/atom. The formation energy is 0.67 eV/atom.

Cell lengths 4.400, 4.400, 8.654 Å; angles 90.00, 90.00, 90.00 degrees
Space group I-4m2 (No. 119)
One atom of each set of equivalent atoms:
Sr  0.000  0.000  0.000
Ru  0.000  0.000  0.500
Ru  0.000  0.500  0.250
Pb  0.000  0.500  0.750

---

11.
Material: SrRuPb2
Method: DFT, PBE
State: relaxed

Values from the calculation:
As for the final energy: -0.329 Ry per atom. The calculation puts the density of states at the Fermi level at 0.768 states/eV/atom. The formation energy is 0.12 eV/atom.

Cell lengths 3.439, 4.471, 14.377 Å; angles 90.00, 90.00, 90.00 degrees
Space group Imm2 (No. 44)
One atom of each set of equivalent atoms:
Sr  0.000  0.000  0.000
Ru  0.000  0.500  0.304
Pb  0.000  0.000  0.644
Pb  0.000  0.500  0.814

---

12.
Material: SrRuPb2
Method: DFT, PBE
State: relaxed

Values from the calculation:
As for the final energy: -0.312 Ry per atom. The calculation puts the density of states at the Fermi level at 1.253 states/eV/atom. The formation energy is 0.34 eV/atom.

Cell lengths 4.659, 4.659, 9.547 Å; angles 90.00, 90.00, 90.00 degrees
Space group I-4m2 (No. 119)
One atom of each set of equivalent atoms:
Sr  0.000  0.000  0.000
Ru  0.000  0.500  0.250
Pb  0.000  0.000  0.500
Pb  0.000  0.500  0.750

---

13.
Material: Sr2RuPb2
Method: DFT, PBE
State: relaxed

Values from the calculation:
As for the final energy: -0.297 Ry per atom. The calculation puts the density of states at the Fermi level at 1.150 states/eV/atom. The formation energy is -0.04 eV/atom.

Cell lengths 7.505, 7.505, 5.238 Å; angles 90.00, 90.00, 90.00 degrees
Space group P4/mbm (No. 127)
One atom of each set of equivalent atoms:
Sr  0.173  0.327  0.000
Ru  0.000  0.000  0.500
Pb  0.148  0.648  0.500

---

14.
Material: SrRuPb3
Method: DFT, PBE
State: relaxed

Values from the calculation:
As for the final energy: -0.318 Ry per atom. The calculation puts the density of states at the Fermi level at 1.089 states/eV/atom. The value obtained for the offset from the most stable computed form is 0.00 kcal/mol of atoms. The formation energy is 0.10 eV/atom.

Cell lengths 5.363, 5.363, 5.363 Å; angles 90.00, 90.00, 90.00 degrees
Space group Pm-3m (No. 221)
One atom of each set of equivalent atoms:
Sr  0.000  0.000  0.000
Ru  0.500  0.500  0.500
Pb  0.000  0.500  0.500

---

15.
Material: SrRuPb2
Method: DFT, PBE
State: relaxed

Values from the calculation:
As for the final energy: -0.309 Ry per atom. The calculation puts the density of states at the Fermi level at 0.872 states/eV/atom. The formation energy is 0.38 eV/atom.

Cell lengths 6.450, 8.715, 3.661 Å; angles 90.00, 90.20, 90.00 degrees
Space group C2/m (No. 12)
One atom of each set of equivalent atoms:
Sr  0.000  0.000  0.000
Ru  0.000  0.500  0.000
Pb  0.250  0.250  0.500

---

16.
Material: SrRu2Pb
Method: DFT, PBE
State: relaxed

Values from the calculation:
As for the final energy: -0.417 Ry per atom. The calculation puts the density of states at the Fermi level at 0.707 states/eV/atom. The formation energy is 0.31 eV/atom.

Cell lengths 3.185, 3.185, 8.447 Å; angles 90.00, 90.00, 90.00 degrees
Space group P4mm (No. 99)
One atom of each set of equivalent atoms:
Sr  0.000  0.000  0.000
Ru  0.000  0.000  0.573
Ru  0.500  0.500  0.735
Pb  0.500  0.500  0.343

---

17.
Material: SrRuPb3
Method: DFT, PBE
State: relaxed

Values from the calculation:
As for the final energy: -0.201 Ry per atom. The calculation puts the density of states at the Fermi level at 4.586 states/eV/atom. The value obtained for the offset from the most stable computed form is 36.46 kcal/mol of atoms. The formation energy is 1.68 eV/atom.

Cell lengths 5.948, 5.948, 5.948 Å; angles 90.00, 90.00, 90.00 degrees
Space group Pm-3m (No. 221)
One atom of each set of equivalent atoms:
Sr  0.000  0.000  0.000
Ru  0.500  0.500  0.500
Pb  0.000  0.000  0.500

---

18.
Material: SrRuPb2
Method: DFT, PBE
State: relaxed

Values from the calculation:
As for the final energy: -0.334 Ry per atom. The calculation puts the density of states at the Fermi level at 0.630 states/eV/atom. The formation energy is 0.05 eV/atom.

Cell lengths 3.560, 3.560, 7.949 Å; angles 90.00, 90.00, 90.00 degrees
Space group P4/mmm (No. 123)
One atom of each set of equivalent atoms:
Sr  0.000  0.000  0.000
Ru  0.000  0.000  0.500
Pb  0.500  0.500  0.304

---

19.
Material: SrRuPb2
Method: DFT, PBE
State: relaxed

Values from the calculation:
As for the final energy: -0.312 Ry per atom. The calculation puts the density of states at the Fermi level at 0.435 states/eV/atom. The formation energy is 0.34 eV/atom.

Cell lengths 7.454, 7.454, 7.454 Å; angles 90.00, 90.00, 90.00 degrees
Space group F-43m (No. 216)
One atom of each set of equivalent atoms:
Sr  0.000  0.000  0.000
Ru  0.250  0.250  0.250
Pb  0.000  0.000  0.500
Pb  0.250  0.250  0.750

---

20.
Material: SrTi2RuPb
Method: DFT, PBE
State: relaxed

Values from the calculation:
As for the final energy: -0.430 Ry per atom. The calculation puts the density of states at the Fermi level at 1.426 states/eV/atom. The formation energy is 0.24 eV/atom.

Cell lengths 4.867, 4.867, 5.334 Å; angles 90.00, 90.00, 90.00 degrees
Space group P4/mmm (No. 123)
One atom of each set of equivalent atoms:
Sr  0.000  0.000  0.000
Ti  0.000  0.500  0.500
Ru  0.500  0.500  0.500
Pb  0.500  0.500  0.000

---

21.
Material: Sr2YRuPb
Method: DFT, PBE
State: relaxed

Values from the calculation:
As for the final energy: -0.314 Ry per atom. The calculation puts the density of states at the Fermi level at 0.710 states/eV/atom. The formation energy is 0.29 eV/atom.

Cell lengths 5.652, 5.652, 5.373 Å; angles 90.00, 90.00, 90.00 degrees
Space group P4/mmm (No. 123)
One atom of each set of equivalent atoms:
Sr  0.000  0.500  0.000
Y  0.000  0.000  0.500
Ru  0.500  0.500  0.000
Pb  0.500  0.500  0.500

---

22.
Material: SrY2RuPb
Method: DFT, PBE
State: relaxed

Values from the calculation:
As for the final energy: -0.418 Ry per atom. The calculation puts the density of states at the Fermi level at 0.494 states/eV/atom. The formation energy is -0.16 eV/atom.

Cell lengths 5.357, 5.357, 5.456 Å; angles 90.00, 90.00, 90.00 degrees
Space group P4/mmm (No. 123)
One atom of each set of equivalent atoms:
Sr  0.000  0.000  0.000
Y  0.000  0.500  0.500
Ru  0.500  0.500  0.500
Pb  0.500  0.500  0.000

---

23.
Material: SrZnRuPb2
Method: DFT, PBE
State: relaxed

Values from the calculation:
As for the final energy: -0.278 Ry per atom. The calculation puts the density of states at the Fermi level at 0.542 states/eV/atom. The formation energy is 0.15 eV/atom.

Cell lengths 5.252, 5.252, 5.829 Å; angles 90.00, 90.00, 90.00 degrees
Space group P4/mmm (No. 123)
One atom of each set of equivalent atoms:
Sr  0.000  0.000  0.000
Zn  0.500  0.500  0.000
Ru  0.000  0.000  0.500
Pb  0.000  0.500  0.500

---

24.
Material: Ta2RuPb
Method: DFT, PBE
State: relaxed

Values from the calculation:
As for the final energy: -0.617 Ry per atom. The calculation puts the density of states at the Fermi level at 0.940 states/eV/atom. The formation energy is 0.78 eV/atom.

Cell lengths 3.974, 3.974, 20.019 Å; angles 90.00, 90.00, 90.00 degrees
Space group I-42d (No. 122)
One atom of each set of equivalent atoms:
Ta  0.249  0.250  0.125
Ru  0.000  0.000  0.500
Pb  0.000  0.000  0.000

---

25.
Material: TaRuPb3
Method: DFT, PBE
State: relaxed

Values from the calculation:
As for the final energy: -0.372 Ry per atom. The calculation puts the density of states at the Fermi level at 0.536 states/eV/atom. The value obtained for the offset from the most stable computed form is 3.84 kcal/mol of atoms. The formation energy is 1.39 eV/atom.

Cell lengths 5.455, 5.455, 5.455 Å; angles 90.00, 90.00, 90.00 degrees
Space group Pm-3m (No. 221)
One atom of each set of equivalent atoms:
Ta  0.000  0.000  0.000
Ru  0.500  0.500  0.500
Pb  0.000  0.000  0.500

---

26.
Material: TaRu4Pb
Method: DFT, PBE
State: relaxed

Values from the calculation:
As for the final energy: -0.620 Ry per atom. The calculation puts the density of states at the Fermi level at 1.356 states/eV/atom. The formation energy is 0.34 eV/atom.

Cell lengths 7.339, 7.339, 7.339 Å; angles 90.00, 90.00, 90.00 degrees
Space group F-43m (No. 216)
One atom of each set of equivalent atoms:
Ta  0.000  0.000  0.000
Ru  0.125  0.125  0.625
Pb  0.250  0.250  0.250

---

27.
Material: Ta2RuPb
Method: DFT, PBE
State: relaxed

Values from the calculation:
As for the final energy: -0.656 Ry per atom. The calculation puts the density of states at the Fermi level at 0.653 states/eV/atom. The formation energy is 0.25 eV/atom.

Cell lengths 3.014, 4.114, 5.933 Å; angles 90.00, 90.00, 90.00 degrees
Space group Pmmm (No. 47)
One atom of each set of equivalent atoms:
Ta  0.000  0.000  0.223
Ru  0.500  0.500  0.000
Pb  0.500  0.500  0.500

---

28.
Material: Ta2RuPb
Method: DFT, PBE
State: relaxed

Values from the calculation:
As for the final energy: -0.653 Ry per atom. The calculation puts the density of states at the Fermi level at 1.083 states/eV/atom. The formation energy is 0.28 eV/atom.

Cell lengths 4.072, 4.072, 4.375 Å; angles 90.00, 90.00, 90.00 degrees
Space group P4/mmm (No. 123)
One atom of each set of equivalent atoms:
Ta  0.000  0.500  0.000
Ru  0.000  0.000  0.500
Pb  0.500  0.500  0.500

---

29.
Material: Ta2RuPb
Method: DFT, PBE
State: relaxed

Values from the calculation:
As for the final energy: -0.662 Ry per atom. The calculation puts the density of states at the Fermi level at 0.527 states/eV/atom. The formation energy is 0.17 eV/atom.

Cell lengths 3.042, 3.042, 8.151 Å; angles 90.00, 90.00, 90.00 degrees
Space group P4/mmm (No. 123)
One atom of each set of equivalent atoms:
Ta  0.000  0.000  0.209
Ru  0.500  0.500  0.000
Pb  0.500  0.500  0.500